(1)
Mn2Ni15Rh2 after structural relaxation. Source: Alexandria, functional PBE.

The space group is R-3m (No. 166, hexagonal axes) and the conventional cell measures 8.1541, 8.1541 and 12.1459 Å, with angles of 90.00, 90.00 and 120.00 degrees. The inequivalent atoms are Mn at (0.0000, 0.0000, 0.1495), Ni at (0.0000, 0.3124, 0.5000), Ni at (0.0000, 0.5000, 0.0000), Ni at (0.0087, 0.5044, 0.6567) and Rh at (0.0000, 0.0000, 0.3979).

The value obtained for the density of states at the Fermi level is 73.27 states/eV/cell. The calculation puts the formation energy from the elements at 2.5 kcal/mol of atoms. For the total energy, the calculation gives -6.19 eV/atom.

=====

(2)
MnNi2Rh3 after structural relaxation. Source: Alexandria, functional PBE.

The space group is Cmmm (No. 65) and the conventional cell measures 3.799, 11.388 and 3.586 Å, with angles of 90.00, 90.00 and 90.00 degrees. The inequivalent atoms are Mn at (0.000, 0.000, 0.000), Ni at (0.000, 0.334, 0.000), Rh at (0.000, 0.168, 0.500) and Rh at (0.000, 0.500, 0.500).

The value obtained for the density of states at the Fermi level is 15.81 states/eV/cell. The calculation puts the formation energy from the elements at -1.3 kcal/mol of atoms. For the total energy, the calculation gives -7.19 eV/atom.

=====

(3)
MnNi2Rh after structural relaxation. Source: Alexandria, functional PBE.

The space group is F-43m (No. 216) and the conventional cell measures 5.840, 5.840 and 5.840 Å, with angles of 90.00, 90.00 and 90.00 degrees. The inequivalent atoms are Mn at (0.000, 0.000, 0.000), Ni at (0.000, 0.000, 0.500), Ni at (0.250, 0.250, 0.750) and Rh at (0.250, 0.250, 0.250).

The value obtained for the density of states at the Fermi level is 26.35 states/eV/cell. The calculation puts the formation energy from the elements at 0.8 kcal/mol of atoms. For the total energy, the calculation gives -6.99 eV/atom.

=====

(4)
MnNi5Rh2 after structural relaxation. Source: Alexandria, functional PBE.

The space group is Pbam (No. 55) and the conventional cell measures 5.175, 10.361 and 3.606 Å, with angles of 90.00, 90.00 and 90.00 degrees. The inequivalent atoms are Mn at (0.000, 0.000, 0.000), Ni at (0.000, 0.500, 0.000), Ni at (0.006, 0.249, 0.000), Ni at (0.243, 0.626, 0.500) and Rh at (0.246, 0.874, 0.500).

The value obtained for the density of states at the Fermi level is 29.41 states/eV/cell. The calculation puts the formation energy from the elements at -0.2 kcal/mol of atoms. For the total energy, the calculation gives -6.60 eV/atom.

=====

(5)
MnNi4Rh2 after structural relaxation. Source: Alexandria, functional PBE.

The space group is I4/mmm (No. 139) and the conventional cell measures 4.538, 4.538 and 9.394 Å, with angles of 90.00, 90.00 and 90.00 degrees. The inequivalent atoms are Mn at (0.000, 0.000, 0.000), Ni at (0.000, 0.500, 0.000), Ni at (0.000, 0.500, 0.250) and Rh at (0.000, 0.000, 0.361).

The value obtained for the density of states at the Fermi level is 21.19 states/eV/cell. The calculation puts the formation energy from the elements at 10.4 kcal/mol of atoms. For the total energy, the calculation gives -6.26 eV/atom.

=====

(6)
MnNiRh2 after structural relaxation. Source: Alexandria, functional PBE.

The space group is Cmmm (No. 65) and the conventional cell measures 5.408, 7.032 and 2.775 Å, with angles of 90.00, 90.00 and 90.00 degrees. The inequivalent atoms are Mn at (0.000, 0.000, 0.000), Ni at (0.000, 0.500, 0.000) and Rh at (0.250, 0.250, 0.500).

The value obtained for the density of states at the Fermi level is 10.56 states/eV/cell. The calculation puts the formation energy from the elements at -1.1 kcal/mol of atoms. For the total energy, the calculation gives -7.46 eV/atom.